# 1
The following is a PBE-GGA calculation of an optimized crystal structure of Rb2Zn3Ga17, from Alexandria via LeMat-Bulk.

The structure in POSCAR format:
```
Rb2Zn3Ga17
1.0
5.811 3.355 4.412
-5.811 3.355 4.412
0.000 -6.710 4.412
Rb Zn Ga
2 3 17
Direct
0.135 0.135 0.135
0.865 0.865 0.865
0.000 0.000 0.500
0.000 0.500 0.000
0.500 0.000 0.000
0.000 0.500 0.500
0.217 0.217 0.595
0.217 0.595 0.217
0.218 0.500 0.782
0.218 0.782 0.500
0.400 0.400 0.400
0.405 0.783 0.783
0.500 0.000 0.500
0.500 0.218 0.782
0.500 0.500 0.000
0.500 0.782 0.218
0.595 0.217 0.217
0.600 0.600 0.600
0.782 0.218 0.500
0.782 0.500 0.218
0.783 0.405 0.783
0.783 0.783 0.405
```

The formation energy from the elements comes out at 0.0697 eV/atom. The calculation puts the total energy at -2.531 eV/atom. Its symmetry is R-3m, No. 166. As for the spin magnetization: 0.00 μB per formula unit.

***

# 2
The following is a PBE-GGA calculation of an optimized crystal structure of RbZn6Ga12, from Alexandria via LeMat-Bulk.

The structure in POSCAR format:
```
RbZn6Ga12
1.0
6.108 3.526 2.927
-6.108 3.526 2.927
0.000 -7.053 2.927
Rb Zn Ga
1 6 12
Direct
0.000 0.000 0.000
0.235 0.726 0.726
0.274 0.274 0.765
0.274 0.765 0.274
0.726 0.235 0.726
0.726 0.726 0.235
0.765 0.274 0.274
0.106 0.500 0.894
0.106 0.894 0.500
0.190 0.425 0.425
0.425 0.190 0.425
0.425 0.425 0.190
0.500 0.106 0.894
0.500 0.894 0.106
0.575 0.575 0.810
0.575 0.810 0.575
0.810 0.575 0.575
0.894 0.106 0.500
0.894 0.500 0.106
```

The formation energy from the elements comes out at 0.0294 eV/atom. The calculation puts the total energy at -2.335 eV/atom. Its symmetry is R-3m, No. 166. As for the spin magnetization: 0.00 μB per formula unit.

***

# 3
The following is a PBE-GGA calculation of an optimized crystal structure of RbZnGa2, from Alexandria via LeMat-Bulk.

The structure in POSCAR format:
```
RbZnGa2
1.0
-2.663 2.663 8.943
2.663 -2.663 8.943
2.663 2.663 -8.943
Rb Zn Ga
2 2 4
Direct
0.375 0.625 0.750
0.625 0.375 0.250
0.125 0.875 0.250
0.875 0.125 0.750
0.000 0.000 0.000
0.000 0.000 0.500
0.000 0.500 0.000
0.500 0.000 0.500
```

The formation energy from the elements comes out at 0.1124 eV/atom. The calculation puts the total energy at -1.961 eV/atom. Its symmetry is I4_1/amd, No. 141. As for the spin magnetization: 0.00 μB per formula unit.

***

# 4
The following is a PBE-GGA calculation of an optimized crystal structure of RbZn12Ga7, from Alexandria via LeMat-Bulk.

The structure in POSCAR format:
```
RbZn12Ga7
1.0
6.814 3.934 2.314
-6.814 3.934 2.314
0.000 -7.868 2.314
Rb Zn Ga
1 12 7
Direct
0.000 0.000 0.000
0.000 0.263 0.737
0.000 0.737 0.263
0.052 0.397 0.397
0.263 0.000 0.737
0.263 0.737 0.000
0.397 0.052 0.397
0.397 0.397 0.052
0.603 0.603 0.948
0.603 0.948 0.603
0.737 0.000 0.263
0.737 0.263 0.000
0.948 0.603 0.603
0.212 0.212 0.558
0.212 0.558 0.212
0.442 0.788 0.788
0.500 0.500 0.500
0.558 0.212 0.212
0.788 0.442 0.788
0.788 0.788 0.442
```

The formation energy from the elements comes out at 0.0866 eV/atom. The calculation puts the total energy at -1.786 eV/atom. Its symmetry is R-3m, No. 166. As for the spin magnetization: 0.00 μB per formula unit.

***

# 5
The following is a PBE-GGA calculation of an optimized crystal structure of RbZnGa, from Alexandria via LeMat-Bulk.

The structure in POSCAR format:
```
RbZnGa
1.0
-2.269 3.790 5.712
2.269 -3.790 5.712
2.269 3.790 -5.712
Rb Zn Ga
2 2 2
Direct
0.242 0.242 0.000
0.758 0.758 0.000
0.176 0.500 0.676
0.824 0.500 0.324
0.336 0.000 0.336
0.664 0.000 0.664
```

The formation energy from the elements comes out at 0.0472 eV/atom. The calculation puts the total energy at -1.709 eV/atom. Its symmetry is Immm, No. 71. As for the spin magnetization: 0.00 μB per formula unit.

***

# 6
The following is a PBE-GGA calculation of an optimized crystal structure of Rb2ZnGa2, from Alexandria via LeMat-Bulk.

The structure in POSCAR format:
```
Rb2ZnGa2
1.0
2.220 1.282 11.301
-2.220 1.282 11.301
0.000 -2.563 11.301
Rb Zn Ga
2 1 2
Direct
0.070 0.070 0.070
0.930 0.930 0.930
0.500 0.500 0.500
0.189 0.189 0.189
0.811 0.811 0.811
```

The formation energy from the elements comes out at -0.0256 eV/atom. The calculation puts the total energy at -1.878 eV/atom. Its symmetry is R-3m, No. 166. As for the spin magnetization: 0.00 μB per formula unit.

***

# 7
The following is a PBE-GGA calculation of an optimized crystal structure of RbZrGa, from Alexandria via LeMat-Bulk.

The structure in POSCAR format:
```
RbZrGa
1.0
3.353 0.000 0.000
-1.675 6.079 0.000
-0.028 -0.107 9.155
Rb Zr Ga
2 2 2
Direct
0.000 0.000 0.000
0.254 0.495 0.747
0.630 0.259 0.351
0.913 0.823 0.400
0.279 0.559 0.206
0.515 0.027 0.616
```

The formation energy from the elements comes out at 0.1980 eV/atom. The calculation puts the total energy at -3.983 eV/atom. Its symmetry is P1, No. 1. As for the spin magnetization: 0.00 μB per formula unit.

***

# 8
The following is a PBE-GGA calculation of an optimized crystal structure of RbZrGa, from Alexandria via LeMat-Bulk.

The structure in POSCAR format:
```
RbZrGa
1.0
13.223 -2.160 0.000
13.223 2.160 0.000
-0.076 0.000 3.686
Rb Zr Ga
2 2 2
Direct
0.166 0.166 0.276
0.834 0.834 0.724
0.455 0.455 0.743
0.545 0.545 0.257
0.039 0.039 0.756
0.961 0.961 0.244
```

The formation energy from the elements comes out at -0.0859 eV/atom. The calculation puts the total energy at -4.267 eV/atom. Its symmetry is C2/m, No. 12. As for the spin magnetization: 0.00 μB per formula unit.